1.
Entry from Alexandria via LeMat-Bulk: a relaxed structure of PaTl5Se4 (PBE).

Properties
- calculated volume (Å³/atom) = 34.03
- E (eV/atom) = -4.154

Cell: 18.5726 4.2055 8.7789 Å, 90.00 96.96 90.00°
Last column: nearest neighbours and their distance in Å.
Space group C2/m (No. 12)
Asymmetric unit:
Pa 0.0000 0.0000 0.0000  6 Se 2.82-2.87
Tl 0.0000 0.0000 0.5000  4 Se 3.30, 4 Tl 3.51
Tl 0.1331 0.5000 0.6902  3 Se 3.15-3.20, 2 Tl 3.51
Tl 0.1957 0.5000 0.2121  3 Se 3.06-3.16
Se 0.0265 0.5000 0.2226  2 Pa 2.87, 2 Tl 3.15-3.16
Se 0.1491 0.0000 0.9670  1 Pa 2.82, 2 Tl 3.06

2.
Entry from Alexandria via LeMat-Bulk: a relaxed structure of PaTl5Se4 (PBE).

Properties
- calculated volume (Å³/atom) = 32.55
- E (eV/atom) = -4.157

Cell: 18.8040 4.2232 8.8773 Å, 90.00 112.55 90.00°
Last column: nearest neighbours and their distance in Å.
Space group C2/m (No. 12)
Asymmetric unit:
Pa 0.0000 0.0000 0.0000  6 Se 2.84-2.89
Tl 0.0000 0.0000 0.5000  4 Se 3.34, 4 Tl 3.57
Tl 0.1456 0.5000 0.7735  4 Se 3.16-3.41
Tl 0.2015 0.5000 0.3174  3 Se 3.04-3.06
Se 0.0294 0.5000 0.2380  2 Pa 2.89, 1 Tl 3.04
Se 0.1581 0.0000 0.0480  1 Pa 2.84, 4 Tl 3.06-3.16

3.
Entry from Alexandria via LeMat-Bulk: a relaxed structure of PaTl2Se4 (PBE).

Properties
- calculated volume (Å³/atom) = 34.68
- E (eV/atom) = -4.816

Cell: 9.0375 9.0375 11.8885 Å, 90.00 90.00 90.00°
Last column: nearest neighbours and their distance in Å.
Space group P4_122 (No. 91)
Asymmetric unit:
Pa 0.0000 0.2493 0.0000  6 Se 2.72-2.83
Tl 0.2464 0.2464 0.3750  4 Se 2.94-3.01
Tl 0.2611 0.5000 0.7500  6 Se 3.15-3.31
Se 0.0303 0.2223 0.7642  2 Pa 2.83, 1 Tl 3.01
Se 0.2147 0.4580 0.0247  1 Pa 2.72, 1 Tl 2.94

4.
Entry from Alexandria via LeMat-Bulk: a relaxed structure of Pa2TlSe5 (PBE).

Properties
- calculated volume (Å³/atom) = 28.66
- E (eV/atom) = -6.041

Cell: 4.3279 7.1270 14.8639 Å, 90.00 90.00 90.00°
Last column: nearest neighbours and their distance in Å.
Space group Immm (No. 71)
Asymmetric unit:
Pa 0.0000 0.0000 0.1856  7 Se 2.76-2.92
Tl 0.0000 0.5000 0.0000  10 Se 3.56-3.60
Se 0.0000 0.0000 0.0000  2 Pa 2.76
Se 0.0000 0.2401 0.3448  3 Pa 2.88-2.92

5.
Entry from Alexandria via LeMat-Bulk: a relaxed structure of Tm3PaTl4Se8 (PBE).

Properties
- calculated volume (Å³/atom) = 29.24
- E (eV/atom) = -5.013

Cell: 8.2656 8.2656 23.7247 Å, 90.00 90.00 120.00°
Last column: nearest neighbours and their distance in Å.
Space group R-3m (No. 166, hexagonal axes)
Asymmetric unit:
Tm 0.0000 0.5000 0.0000  6 Se 2.85-2.86
Pa 0.0000 0.0000 0.0000  6 Se 2.89
Tl 0.0000 0.0000 0.5000  6 Se 3.34
Tl 0.0000 0.5000 0.5000  6 Se 3.36-3.38
Se 0.0000 0.0000 0.2676  3 Tm 2.85
Se 0.0034 0.5017 0.2660  2 Tm 2.86, 1 Pa 2.89

6.
Entry from Alexandria via LeMat-Bulk: a relaxed structure of Tm2PaTl2Se6 (PBE).

Properties
- calculated volume (Å³/atom) = 31.63
- E (eV/atom) = -5.380

Cell: 7.1403 12.3863 8.2227 Å, 90.00 106.88 90.00°
Last column: nearest neighbours and their distance in Å.
Space group C2/m (No. 12)
Asymmetric unit:
Tm 0.0000 0.1671 0.0000  6 Se 2.85-2.86
Pa 0.0000 0.5000 0.0000  6 Se 2.86
Tl 0.0000 0.3338 0.5000  6 Se 3.35
Se 0.2327 0.0000 0.2009  2 Tm 2.86, 1 Pa 2.86
Se 0.2334 0.3325 0.2006  2 Tm 2.85-2.86, 1 Pa 2.86

7.
Entry from Alexandria via LeMat-Bulk: a relaxed structure of TmPaTl2Se4 (PBE).

Properties
- calculated volume (Å³/atom) = 29.34
- E (eV/atom) = -5.222

Cell: 7.2057 4.0840 8.2906 Å, 90.00 105.84 90.00°
Last column: nearest neighbours and their distance in Å.
Space group P2/m (No. 10)
Asymmetric unit:
Tm 0.0000 0.0000 0.0000  6 Se 2.85-2.87
Pa 0.5000 0.5000 0.0000  6 Se 2.89-2.91
Tl 0.0000 0.5000 0.5000  6 Se 3.33-3.34
Tl 0.5000 0.0000 0.5000  6 Se 3.34-3.40
Se 0.2286 0.5000 0.1999  2 Tm 2.85, 1 Pa 2.89
Se 0.2605 0.0000 0.7934  1 Tm 2.87, 2 Pa 2.91

8.
Entry from Alexandria via LeMat-Bulk: a relaxed structure of Tm3PaTl3Se8 (PBE).

Properties
- calculated volume (Å³/atom) = 30.90
- E (eV/atom) = -5.229

Cell: 8.2597 8.2597 23.5355 Å, 90.00 90.00 120.00°
Last column: nearest neighbours and their distance in Å.
Space group R-3m (No. 166, hexagonal axes)
Asymmetric unit:
Tm 0.0000 0.5000 0.0000  6 Se 2.85
Pa 0.0000 0.0000 0.0000  6 Se 2.87
Tl 0.0000 0.5000 0.5000  6 Se 3.35
Se 0.0000 0.0000 0.2667  3 Tm 2.85
Se 0.0023 0.5011 0.2664  2 Tm 2.85, 1 Pa 2.87